SrTeCl4: optimized geometry, GGA-PBE.

Cell: 6.143 6.143 6.143 Å, 60.00 60.00 60.00°
Element x y z (fractional)
1 Sr 0.000 0.000 0.000
2 Te 0.750 0.750 0.750
3 Cl 0.374 0.374 0.374
4 Cl 0.374 0.374 0.879
5 Cl 0.374 0.879 0.374
6 Cl 0.879 0.374 0.374

Results
total magnetic moment = 4.1 μB/f.u.
space group = F-43m

SrTeCl2: optimized geometry, GGA-PBE.

Cell: 5.491 5.491 5.491 Å, 60.00 60.00 60.00°
Element x y z (fractional)
1 Sr 0.000 0.000 0.000
2 Te 0.250 0.250 0.250
3 Cl 0.500 0.500 0.500
4 Cl 0.750 0.750 0.750

Results
total magnetic moment = 2.0 μB/f.u.
energy relative to the lowest polymorph listed for this composition = 195 kJ/mol of formula units
space group = F-43m

SrTeCl2: optimized geometry, GGA-PBE.

Cell: 7.186 7.186 7.186 Å, 104.70 104.70 119.51°
Element x y z (fractional)
1 Sr 0.000 0.000 0.000
2 Sr 0.750 0.250 0.500
3 Te 0.250 0.750 0.500
4 Te 0.500 0.500 0.000
5 Cl 0.058 0.625 0.933
6 Cl 0.375 0.308 0.433
7 Cl 0.692 0.125 0.067
8 Cl 0.875 0.942 0.567

Results
total magnetic moment = 2.0 μB/f.u.
energy relative to the lowest polymorph listed for this composition = 85 kJ/mol of formula units
space group = I-42d

Number 1: E_form (uncorrected) -36 kJ/mol of atoms, D(E_F) 4.13 states/eV/f.u.. Number 2: E_form (uncorrected) -91 kJ/mol of atoms, D(E_F) 2.96 states/eV/f.u.. Number 3: E_form (uncorrected) -118 kJ/mol of atoms, D(E_F) 0.06 states/eV/f.u..